Arrangement 1

Crystalline BaFeBr2 at its relaxed geometry. Source: Alexandria, functional PBE.

Summary:
Magnetic moment   1.0000 μB per atom

a b c (Å): 7.8029 7.8029 7.8029
angles (deg): 90.00 90.00 90.00
Closest atoms and distances in Å follow each position.
Space group Fm-3m (No. 225)
Unique sites:
1 Ba 0.0000 0.0000 0.0000 (multiplicity 4)  8 Br 3.38
2 Fe 0.0000 0.0000 0.5000 (multiplicity 4)  8 Br 3.38
3 Br 0.2500 0.2500 0.2500 (multiplicity 8)  4 Ba 3.38, 4 Fe 3.38



Arrangement 2

Crystalline BaFeBr2 at its relaxed geometry. Source: Alexandria, functional PBE.

Summary:
Magnetic moment   0.6302 μB per atom

a b c (Å): 3.9601 3.9601 7.3614
angles (deg): 90.00 90.00 90.00
Closest atoms and distances in Å follow each position.
Space group P4mm (No. 99)
Unique sites:
1 Ba 0.0000 0.0000 0.0000 (multiplicity 1)  5 Br 3.09-3.35
2 Fe 0.5000 0.5000 0.6422 (multiplicity 1)  5 Br 2.84-2.89
3 Br 0.0000 0.0000 0.5798 (multiplicity 1)  4 Fe 2.84, 1 Ba 3.09
4 Br 0.5000 0.5000 0.2489 (multiplicity 1)  1 Fe 2.89



Arrangement 3

Crystalline BaFeBr2 at its relaxed geometry. Source: Alexandria, functional PBE.

Summary:
Magnetic moment   0.5178 μB per atom

a b c (Å): 12.9679 4.4745 4.2292
angles (deg): 90.00 98.08 90.00
Closest atoms and distances in Å follow each position.
Space group Cm (No. 8)
Unique sites:
1 Ba 0.0000 0.0000 0.0000 (multiplicity 2)  2 Fe 3.35-3.36, 6 Br 3.38-3.43
2 Fe 0.2026 0.0000 0.5889 (multiplicity 2)  3 Br 2.41-2.55
3 Br 0.1674 0.5000 0.7535 (multiplicity 2)  2 Fe 2.41
4 Br 0.3868 0.0000 0.4413 (multiplicity 2)  1 Fe 2.55



Which one sits at the top of the stability order? arrangement 3 does.